Material: GdYIn2
Method: DFT, PBE-GGA
State: optimized geometry

a b c (Å): 10.005 10.005 10.005
angles (deg): 21.36 21.36 21.36
Element x y z (fractional)
Gd1 0.000 0.000 0.000
Y1 0.500 0.500 0.500
In1 0.249 0.249 0.249
In2 0.751 0.751 0.751

Summary:
* size of the total moment: 7.1 μB/cell
* SG: R-3m
* formation enthalpy at 0 K: -0.34 eV/atom

---

Material: Gd2YIn
Method: DFT, PBE-GGA
State: optimized geometry

a b c (Å): 12.319 12.319 12.319
angles (deg): 16.43 16.43 16.43
Element x y z (fractional)
Gd1 0.088 0.088 0.088
Gd2 0.912 0.912 0.912
Y1 0.500 0.500 0.500
In1 0.000 0.000 0.000

Summary:
* size of the total moment: 14.9 μB/cell
* SG: R-3m
* formation enthalpy at 0 K: 0.10 eV/atom